Record 1
First-principles (PBE) data for an optimized crystal structure of LaTbP2S8, as listed in Alexandria.

a = 6.6149 Å, b = 6.6149 Å, c = 8.6579 Å
α = 90.00°, β = 90.00°, γ = 120.00°
Element x y z (fractional)
La: 0.0000 0.0000 0.0000
Tb: 0.0000 0.0000 0.5000
P: 0.3333 0.6667 0.1910
P: 0.6667 0.3333 0.8090
S: 0.1641 0.3282 0.2724
S: 0.1641 0.8359 0.2724
S: 0.3282 0.1641 0.7276
S: 0.3333 0.6667 0.9624
S: 0.6667 0.3333 0.0376
S: 0.6718 0.8359 0.2724
S: 0.8359 0.1641 0.7276
S: 0.8359 0.6718 0.7276

Output
**Final energy**: -5.29 eV per atom
**Theoretical density**: 3.1 Mg/m³

***

Record 2
First-principles (PBE) data for an optimized crystal structure of CeSm4Tm5, as listed in Alexandria.

a = 8.5882 Å, b = 8.5882 Å, c = 11.3329 Å
α = 109.05°, β = 109.05°, γ = 23.59°
Element x y z (fractional)
Ce: 0.0000 0.0000 0.0000
Sm: 0.1046 0.1046 0.7985
Sm: 0.4107 0.4107 0.7046
Sm: 0.5893 0.5893 0.2954
Sm: 0.8954 0.8954 0.2015
Tm: 0.0000 0.0000 0.5000
Tm: 0.2912 0.2912 0.3835
Tm: 0.3083 0.3083 0.9181
Tm: 0.6917 0.6917 0.0819
Tm: 0.7088 0.7088 0.6165

Output
**Final energy**: -4.66 eV per atom
**Theoretical density**: 8.4 Mg/m³
**E above lowest polymorph**: 0.000 eV/atom
**ΔH_f (0 K)**: 0.06 eV per atom

***

Record 3
First-principles (PBE) data for an optimized crystal structure of Ac5CePb6, as listed in Alexandria.

a = 10.3954 Å, b = 10.3954 Å, c = 6.1733 Å
α = 107.17°, β = 107.17°, γ = 125.11°
Element x y z (fractional)
Ac: 0.0000 0.0000 0.0000
Ac: 0.1603 0.8397 0.5000
Ac: 0.3249 0.6751 0.0000
Ac: 0.6751 0.3249 0.0000
Ac: 0.8397 0.1603 0.5000
Ce: 0.5000 0.5000 0.5000
Pb: 0.1021 0.4283 0.2654
Pb: 0.2767 0.2767 0.7763
Pb: 0.4283 0.1021 0.2654
Pb: 0.5717 0.8979 0.7346
Pb: 0.7233 0.7233 0.2237
Pb: 0.8979 0.5717 0.7346

Output
**Final energy**: -4.51 eV per atom
**Theoretical density**: 10.0 Mg/m³
**ΔH_f (0 K)**: -0.45 eV per atom

***

Record 4
First-principles (PBE) data for an optimized crystal structure of PmZn10Ir, as listed in Alexandria.

a = 4.3794 Å, b = 5.0205 Å, c = 8.9882 Å
α = 90.00°, β = 90.00°, γ = 90.00°
Element x y z (fractional)
Pm: 0.0000 0.0000 0.0000
Zn: 0.0000 0.0000 0.3527
Zn: 0.0000 0.0000 0.6473
Zn: 0.0000 0.5000 0.2065
Zn: 0.0000 0.5000 0.7935
Zn: 0.5000 0.0000 0.5000
Zn: 0.5000 0.2460 0.2500
Zn: 0.5000 0.2460 0.7500
Zn: 0.5000 0.5000 0.0000
Zn: 0.5000 0.7540 0.2500
Zn: 0.5000 0.7540 0.7500
Ir: 0.0000 0.5000 0.5000

Output
**Final energy**: -2.21 eV per atom
**Theoretical density**: 8.3 Mg/m³
**ΔH_f (0 K)**: -0.02 eV per atom